Record 1
Computed, not measured: AgBi6Pb12 after structural relaxation at the PBE level of DFT.

a b c (Å): 8.952 8.952 8.952
angles (deg): 94.11 94.11 94.11
Fractional coordinates of all 19 atoms:
Ag1 0.000 0.000 0.000
Bi1 0.142 0.262 0.541
Bi2 0.262 0.541 0.142
Bi3 0.459 0.858 0.738
Bi4 0.541 0.142 0.262
Bi5 0.738 0.459 0.858
Bi6 0.858 0.738 0.459
Pb1 0.053 0.302 0.888
Pb2 0.112 0.947 0.698
Pb3 0.197 0.625 0.497
Pb4 0.302 0.888 0.053
Pb5 0.375 0.503 0.803
Pb6 0.497 0.197 0.625
Pb7 0.503 0.803 0.375
Pb8 0.625 0.497 0.197
Pb9 0.698 0.112 0.947
Pb10 0.803 0.375 0.503
Pb11 0.888 0.053 0.302
Pb12 0.947 0.698 0.112

Computed properties:
SG: R-3, No. 148
Calculated total energy (eV per atom): -3.6106
D(E_F) (states/eV/cell): 9.4
DFT formation energy (eV/f.u.): 2.04
Excess energy over the best structure of this formula in the dataset (meV per atom): 66

***

Record 2
Computed, not measured: AgBi3Pb after structural relaxation at the PBE level of DFT.

a b c (Å): 5.563 5.563 5.563
angles (deg): 90.00 90.00 90.00
Fractional coordinates of all 5 atoms:
Ag1 0.000 0.000 0.000
Bi1 0.000 0.000 0.500
Bi2 0.000 0.500 0.000
Bi3 0.500 0.000 0.000
Pb1 0.500 0.500 0.500

Computed properties:
SG: Pm-3m, No. 221
Calculated total energy (eV per atom): -3.1928
D(E_F) (states/eV/cell): 4.1
DFT formation energy (eV/f.u.): 2.24
Excess energy over the best structure of this formula in the dataset (meV per atom): 0

***

Record 3
Computed, not measured: AgBi5Pb6 after structural relaxation at the PBE level of DFT.

a b c (Å): 9.418 9.418 4.933
angles (deg): 105.08 105.08 108.99
Fractional coordinates of all 12 atoms:
Ag1 0.000 0.000 0.000
Bi1 0.167 0.833 0.500
Bi2 0.342 0.658 0.000
Bi3 0.500 0.500 0.500
Bi4 0.658 0.342 0.000
Bi5 0.833 0.167 0.500
Pb1 0.078 0.402 0.239
Pb2 0.224 0.224 0.722
Pb3 0.402 0.078 0.239
Pb4 0.598 0.922 0.761
Pb5 0.776 0.776 0.278
Pb6 0.922 0.598 0.761

Computed properties:
SG: C2/m, No. 12
Calculated total energy (eV per atom): -3.6488
D(E_F) (states/eV/cell): 5.6
DFT formation energy (eV/f.u.): 0.72

***

Record 4
Computed, not measured: AgBiPb4 after structural relaxation at the PBE level of DFT.

a b c (Å): 8.456 8.456 5.881
angles (deg): 100.31 100.31 114.08
Fractional coordinates of all 12 atoms:
Ag1 0.008 0.992 0.750
Ag2 0.992 0.008 0.250
Bi1 0.379 0.621 0.750
Bi2 0.621 0.379 0.250
Pb1 0.065 0.706 0.427
Pb2 0.210 0.373 0.149
Pb3 0.294 0.935 0.073
Pb4 0.373 0.210 0.649
Pb5 0.627 0.790 0.351
Pb6 0.706 0.065 0.927
Pb7 0.790 0.627 0.851
Pb8 0.935 0.294 0.573

Computed properties:
SG: C2/c, No. 15
Calculated total energy (eV per atom): -3.5459
D(E_F) (states/eV/cell): 7.5
DFT formation energy (eV/f.u.): 0.29
Excess energy over the best structure of this formula in the dataset (meV per atom): 0